First-principles (GGA-PBE) data for Rb2ReTeC after structural relaxation, as listed in Alexandria.

Cell and atoms, written as POSCAR:
```
Rb2ReTeC
1.0
6.336 0.000 0.000
0.000 4.452 0.000
0.000 0.000 6.336
C Te Rb Re
1 1 2 1
direct
0.000 0.000 0.000
0.000 0.500 0.000
0.000 0.000 0.500
0.500 0.000 0.000
0.500 0.500 0.500
```

Computed properties:
Total magnetic moment (μB/cell): 3.81
Formation energy (no corrections) (kJ per mole of atoms): 171.01
E_tot (eV/atom): -3.5774

First-principles (GGA-PBE) data for Cs2PbI6N after structural relaxation, as listed in Alexandria.

Cell and atoms, written as POSCAR:
```
Cs2PbI6N
1.0
-3.577 6.137 -4.632
4.584 -2.400 -6.719
-3.655 -1.727 -7.228
Cs I N Pb
2 6 1 1
direct
0.750 0.250 0.500
0.250 0.750 0.500
0.260 0.740 0.000
0.281 0.281 0.439
0.719 0.719 0.561
0.740 0.740 0.000
0.740 0.260 0.000
0.260 0.260 0.000
0.500 0.500 0.000
0.000 0.000 0.000
```

Computed properties:
Total magnetic moment (μB/cell): 1.00
Formation energy (no corrections) (kJ per mole of atoms): -30.96
E_tot (eV/atom): -2.6250

First-principles (GGA-PBE) data for AlCo2H2 after structural relaxation, as listed in Alexandria.

Cell and atoms, written as POSCAR:
```
AlCo2H2
1.0
-2.347 0.982 2.311
2.058 -1.059 2.540
1.409 3.330 2.572
H Co Al
2 2 1
direct
0.315 0.315 0.371
0.685 0.685 0.629
0.250 0.750 0.500
0.750 0.250 0.500
0.000 0.000 0.000
```

Computed properties:
Total magnetic moment (μB/cell): 0.45
E_tot (eV/atom): -4.9484

First-principles (GGA-PBE) data for K2SnGeTe5 after structural relaxation, as listed in Alexandria.

Cell and atoms, written as POSCAR:
```
K2SnGeTe5
1.0
4.086 0.000 0.000
-2.043 11.581 0.000
0.000 0.000 14.283
Te Sn Ge K
10 2 2 4
direct
0.676 0.352 0.892
0.341 0.682 0.982
0.036 0.072 0.050
0.720 0.441 0.181
0.280 0.559 0.681
0.487 0.974 0.276
0.659 0.318 0.482
0.964 0.928 0.550
0.513 0.026 0.776
0.324 0.648 0.392
0.225 0.450 0.036
0.775 0.550 0.536
0.435 0.871 0.437
0.565 0.129 0.937
0.113 0.225 0.293
0.875 0.751 0.176
0.125 0.249 0.676
0.887 0.775 0.793
```

Computed properties:
Total magnetic moment (μB/cell): 0.00
Formation energy (no corrections) (kJ per mole of atoms): -41.33
E_tot (eV/atom): -3.3754

In order of appearance, DOS(E_F) = 2.6 1.7 3.7 7.8 states/eV per cell.